Entry 1:
LaIn2Ge2, relaxed, DFT PBE; raw total energy = -4.0761 eV per atom; space-group type = No. 127; calculated volume = 24.83 A^3/atom
1.0
8.3121 0.0000 0.0000
0.0000 8.3121 0.0000
0.0000 0.0000 3.5941
La In Ge
2 4 4
direct
0.0000 0.0000 0.0000
0.5000 0.5000 0.0000
0.1245 0.3755 0.0000
0.3755 0.8755 0.0000
0.6245 0.1245 0.0000
0.8755 0.6245 0.0000
0.1741 0.6741 0.5000
0.3259 0.1741 0.5000
0.6741 0.8259 0.5000
0.8259 0.3259 0.5000

=====

Entry 2:
SrAs3Pt3, relaxed, DFT PBE; raw total energy = -5.3426 eV per atom; space-group type = No. 223; calculated volume = 23.71 A^3/atom
1.0
6.9243 0.0000 0.0000
0.0000 6.9243 0.0000
0.0000 0.0000 6.9243
Sr As Pt
2 6 6
direct
0.0000 0.0000 0.0000
0.5000 0.5000 0.5000
0.0000 0.2500 0.5000
0.0000 0.7500 0.5000
0.2500 0.5000 0.0000
0.5000 0.0000 0.2500
0.5000 0.0000 0.7500
0.7500 0.5000 0.0000
0.0000 0.5000 0.2500
0.0000 0.5000 0.7500
0.2500 0.0000 0.5000
0.5000 0.2500 0.0000
0.5000 0.7500 0.0000
0.7500 0.0000 0.5000

=====

Entry 3:
ReSi, relaxed, DFT PBE; space-group type = No. 70; calculated volume = 14.48 A^3/atom; formation energy from raw total energies = 0.59 eV/f.u.
1.0
0.0000 3.7279 4.8112
3.2290 0.0000 4.8112
3.2290 3.7279 0.0000
Re Si
4 4
direct
0.0748 0.6752 0.0748
0.3248 0.9252 0.3248
0.6752 0.0748 0.6752
0.9252 0.3248 0.9252
0.1913 0.5587 0.5587
0.4413 0.8087 0.8087
0.5587 0.1913 0.1913
0.8087 0.4413 0.4413

=====

Entry 4:
KTaTeAs2, relaxed, DFT PBE; space-group type = No. 123; calculated volume = 28.65 A^3/atom; formation energy from raw total energies = -1.03 eV/f.u.
1.0
5.0650 0.0000 0.0000
0.0000 5.0650 0.0000
0.0000 0.0000 5.5835
K Ta Te As
1 1 1 2
direct
0.0000 0.0000 0.0000
0.5000 0.5000 0.5000
0.5000 0.5000 0.0000
0.0000 0.5000 0.5000
0.5000 0.0000 0.5000

=====

Entry 5:
Mg6VBi, relaxed, DFT PBE; space-group type = No. 38; excess energy over the best structure of this formula in the dataset = 13 meV per atom; calculated volume = 22.49 A^3/atom
1.0
5.0956 0.0000 0.0000
0.0000 3.1462 5.6102
0.0000 -3.1462 5.6102
Mg V Bi
6 1 1
direct
0.0000 0.0000 0.0000
0.0000 0.0043 0.4740
0.0000 0.4740 0.0043
0.0000 0.4847 0.4847
0.5000 0.3277 0.8223
0.5000 0.8223 0.3277
0.5000 0.3236 0.3236
0.5000 0.8274 0.8274

=====

Entry 6:
Dy4Ho2Tm, relaxed, DFT PBE; space-group type = No. 156; excess energy over the best structure of this formula in the dataset = 0 meV per atom; calculated volume = 30.97 A^3/atom
1.0
3.5516 0.0000 0.0000
-1.7758 3.0757 0.0000
0.0000 0.0000 19.8442
Dy Ho Tm
4 2 1
direct
0.0000 0.0000 0.0000
0.0000 0.0000 0.2829
0.6667 0.3333 0.4281
0.6667 0.3333 0.7137
0.3333 0.6667 0.5714
0.3333 0.6667 0.8567
0.3333 0.6667 0.1409

=====

Entry 7:
Na2ICl, relaxed, DFT PBE; space-group type = No. 160; calculated volume = 29.29 A^3/atom; formation energy from raw total energies = -5.82 eV/f.u.
1.0
2.1170 1.2222 7.5469
-2.1170 1.2222 7.5469
0.0000 -2.4445 7.5469
Na I Cl
2 1 1
direct
0.0000 0.0000 0.0000
0.1516 0.1516 0.1516
0.5771 0.5771 0.5771
0.4060 0.4060 0.4060

=====

Entry 8:
TlCdFe2, relaxed, DFT PBE; raw total energy = -4.5161 eV per atom; space-group type = No. 65; calculated volume = 17.24 A^3/atom
1.0
2.8895 -4.1166 0.0000
2.8895 4.1166 0.0000
0.0000 0.0000 2.8996
Tl Cd Fe
1 1 2
direct
0.0000 0.0000 0.0000
0.5000 0.5000 0.0000
0.0000 0.5000 0.5000
0.5000 0.0000 0.5000

=====

Entry 9:
Er2Pd8Au, relaxed, DFT PBE; raw total energy = -5.4627 eV per atom; space-group type = No. 12; calculated volume = 17.31 A^3/atom
1.0
7.2653 -2.1093 0.0000
7.2653 2.1093 0.0000
-1.9728 0.0000 6.2133
Er Pd Au
2 8 1
direct
0.2161 0.2161 0.1657
0.7839 0.7839 0.8343
0.0364 0.0364 0.2248
0.1435 0.1435 0.6851
0.3283 0.3283 0.5991
0.4074 0.4074 0.0549
0.5926 0.5926 0.9451
0.6717 0.6717 0.4009
0.8565 0.8565 0.3149
0.9636 0.9636 0.7752
0.5000 0.5000 0.5000

=====

Entry 10:
Sm3Mg3Cd2, relaxed, DFT PBE; space-group type = No. 189; excess energy over the best structure of this formula in the dataset = 66 meV per atom; calculated volume = 28.27 A^3/atom
1.0
8.0868 0.0000 0.0000
-4.0434 7.0034 0.0000
0.0000 0.0000 3.9935
Sm Mg Cd
3 3 2
direct
0.0000 0.4006 0.0000
0.4006 0.0000 0.0000
0.5994 0.5994 0.0000
0.0000 0.7680 0.5000
0.2320 0.2320 0.5000
0.7680 0.0000 0.5000
0.3333 0.6667 0.5000
0.6667 0.3333 0.5000

=====

Entry 11:
TeP2I8, relaxed, DFT PBE; space-group type = No. 2; calculated volume = 50.33 A^3/atom; formation energy from raw total energies = -0.08 eV/f.u.
1.0
6.7949 0.0000 0.0000
-0.6806 9.4982 0.0000
-0.1008 -4.1867 8.5789
Te P I
1 2 8
direct
0.0000 0.0000 0.0000
0.0737 0.3859 0.4457
0.9263 0.6141 0.5543
0.1152 0.3480 0.6846
0.2212 0.2832 0.0238
0.2421 0.7798 0.6810
0.2980 0.9795 0.2113
0.7020 0.0205 0.7887
0.7579 0.2202 0.3190
0.7788 0.7168 0.9762
0.8848 0.6520 0.3154

=====

Entry 12:
GeBiAu3, relaxed, DFT PBE; space-group type = No. 12; excess energy over the best structure of this formula in the dataset = 0 meV per atom; calculated volume = 22.37 A^3/atom
1.0
11.9952 -2.1402 0.0000
11.9952 2.1402 0.0000
-0.7942 0.0000 4.3561
Ge Bi Au
2 2 6
direct
0.1461 0.1461 0.3935
0.8539 0.8539 0.6065
0.4423 0.4423 0.1958
0.5577 0.5577 0.8042
0.0392 0.0392 0.2872
0.2040 0.2040 0.9513
0.2929 0.2929 0.5414
0.7071 0.7071 0.4586
0.7960 0.7960 0.0487
0.9608 0.9608 0.7128

=====

Entry 13:
La2GdBi, relaxed, DFT PBE; space-group type = No. 166; excess energy over the best structure of this formula in the dataset = 415 meV per atom; calculated volume = 33.81 A^3/atom
1.0
1.7800 1.0277 12.3234
-1.7800 1.0277 12.3234
0.0000 -2.0554 12.3234
La Gd Bi
2 1 1
direct
0.0901 0.0901 0.0901
0.9099 0.9099 0.9099
0.0000 0.0000 0.0000
0.5000 0.5000 0.5000

=====

Entry 14:
ThZnSi2, relaxed, DFT PBE; space-group type = No. 65; calculated volume = 21.15 A^3/atom; formation energy from raw total energies = -0.73 eV/f.u.
1.0
2.6113 -4.1520 0.0000
2.6113 4.1520 0.0000
0.0000 0.0000 3.9015
Th Zn Si
1 1 2
direct
0.0000 0.0000 0.0000
0.5000 0.5000 0.5000
0.0000 0.5000 0.5000
0.5000 0.0000 0.5000

=====

Entry 15:
RbSn2Au2, relaxed, DFT PBE; space-group type = No. 139; excess energy over the best structure of this formula in the dataset = 40 meV per atom; calculated volume = 28.39 A^3/atom
1.0
-2.4864 2.4864 5.7411
2.4864 -2.4864 5.7411
2.4864 2.4864 -5.7411
Rb Sn Au
1 2 2
direct
0.0000 0.0000 0.0000
0.2500 0.7500 0.5000
0.7500 0.2500 0.5000
0.3705 0.3705 0.0000
0.6295 0.6295 0.0000

=====

Entry 16:
TcAg2Au, relaxed, DFT PBE; space-group type = No. 12; excess energy over the best structure of this formula in the dataset = 80 meV per atom; calculated volume = 16.95 A^3/atom
1.0
4.9277 -1.3681 0.0000
4.9277 1.3681 0.0000
-0.7621 0.0000 5.0287
Tc Ag Au
1 2 1
direct
0.0000 0.0000 0.0000
0.2533 0.2533 0.7556
0.7467 0.7467 0.2444
0.5000 0.5000 0.5000

=====

Entry 17:
Pu5Mg2Rh4, relaxed, DFT PBE; raw total energy = -9.7452 eV per atom; space-group type = No. 12; calculated volume = 20.78 A^3/atom
1.0
8.0838 -2.3690 0.0000
8.0838 2.3690 0.0000
-0.0176 0.0000 5.9694
Pu Mg Rh
5 2 4
direct
0.0000 0.0000 0.0000
0.2862 0.2862 0.3480
0.3665 0.3665 0.8579
0.6335 0.6335 0.1421
0.7138 0.7138 0.6520
0.0872 0.0872 0.5119
0.9128 0.9128 0.4881
0.1895 0.1895 0.9029
0.4726 0.4726 0.2812
0.5274 0.5274 0.7188
0.8105 0.8105 0.0971

=====

Entry 18:
LaY2Pb2, relaxed, DFT PBE; space-group type = No. 139; excess energy over the best structure of this formula in the dataset = 363 meV per atom; calculated volume = 35.17 A^3/atom
1.0
-2.9221 2.9221 5.1482
2.9221 -2.9221 5.1482
2.9221 2.9221 -5.1482
La Y Pb
1 2 2
direct
0.0000 0.0000 0.0000
0.3328 0.3328 0.0000
0.6672 0.6672 0.0000
0.2500 0.7500 0.5000
0.7500 0.2500 0.5000

=====

Entry 19:
PmHo4Au2, relaxed, DFT PBE; raw total energy = -4.4956 eV per atom; space-group type = No. 166; calculated volume = 30.35 A^3/atom
1.0
2.4362 1.4065 10.3342
-2.4362 1.4065 10.3342
0.0000 -2.8131 10.3342
Pm Ho Au
1 4 2
direct
0.0000 0.0000 0.0000
0.2006 0.2006 0.2006
0.3994 0.3994 0.3994
0.6006 0.6006 0.6006
0.7994 0.7994 0.7994
0.1027 0.1027 0.1027
0.8973 0.8973 0.8973

=====

Entry 20:
InNiHg2, relaxed, DFT PBE; raw total energy = -2.1551 eV per atom; space-group type = No. 35; calculated volume = 20.75 A^3/atom
1.0
2.1952 -2.1991 0.0000
2.1952 2.1991 0.0000
0.0000 0.0000 8.5981
In Ni Hg
1 1 2
direct
0.0000 0.0000 0.0000
0.5000 0.5000 0.1818
0.0000 0.0000 0.3835
0.5000 0.5000 0.6909

=====

Entry 21:
CsCaIn2Ir, relaxed, DFT PBE; raw total energy = -3.6350 eV per atom; space-group type = No. 123; calculated volume = 31.84 A^3/atom
1.0
5.3284 0.0000 0.0000
0.0000 5.3284 0.0000
0.0000 0.0000 5.6082
Cs Ca In Ir
1 1 2 1
direct
0.0000 0.0000 0.0000
0.5000 0.5000 0.0000
0.0000 0.5000 0.5000
0.5000 0.0000 0.5000
0.5000 0.5000 0.5000

=====

Entry 22:
KAs2HO6, relaxed, DFT PBE; space-group type = No. 15; excess energy over the best structure of this formula in the dataset = 64 meV per atom; calculated volume = 16.40 A^3/atom
1.0
5.4117 -6.5745 0.0000
5.4117 6.5745 0.0000
-1.2874 0.0000 4.6100
K As H O
2 4 2 12
direct
0.1392 0.8608 0.7500
0.8608 0.1392 0.2500
0.2294 0.3832 0.8965
0.3832 0.2294 0.3965
0.6168 0.7706 0.6035
0.7706 0.6168 0.1035
0.3394 0.6606 0.2500
0.6606 0.3394 0.7500
0.0534 0.2458 0.8277
0.2367 0.5814 0.0401
0.2458 0.0534 0.3277
0.3106 0.3966 0.5762
0.3966 0.3106 0.0762
0.4186 0.7633 0.4599
0.5814 0.2367 0.5401
0.6034 0.6894 0.9238
0.6894 0.6034 0.4238
0.7542 0.9466 0.6723
0.7633 0.4186 0.9599
0.9466 0.7542 0.1723

=====

Entry 23:
PaBS4, relaxed, DFT PBE; space-group type = No. 15; calculated volume = 20.67 A^3/atom; formation energy from raw total energies = -5.91 eV/f.u.
1.0
3.5578 -5.9055 0.0000
3.5578 5.9055 0.0000
-3.5569 0.0000 5.9041
Pa B S
2 2 8
direct
0.1248 0.8752 0.7500
0.8752 0.1248 0.2500
0.3747 0.6253 0.2500
0.6253 0.3747 0.7500
0.2003 0.6265 0.4256
0.2006 0.2752 0.0737
0.2752 0.2006 0.5737
0.3735 0.7997 0.0744
0.6265 0.2003 0.9256
0.7248 0.7994 0.4263
0.7994 0.7248 0.9263
0.7997 0.3735 0.5744